No. 1
## BaY3Ru (SCAN)

Data for a PBEsol-optimized structure of BaY3Ru.

Cell lengths 6.0636, 6.6217, 7.8168 Å; angles 90.00, 90.00, 90.00 degrees
Closest atoms and distances in Å follow each position.
Fractional coordinates of all 10 atoms:
1 Ru 0.5000 0.5000 0.0000  6 Y 2.69-2.73
2 Y 0.7500 0.1562 0.0000  2 Ru 2.73
3 Ba 0.7500 0.1857 0.5000  10 Y 3.76-3.94, 2 Ba 3.90
4 Y 0.2500 0.8438 0.0000  2 Ru 2.73
5 Y 0.7500 0.6753 0.2417  2 Ru 2.69
6 Ba 0.2500 0.8143 0.5000  10 Y 3.76-3.94, 2 Ba 3.90
7 Y 0.2500 0.3247 0.2417  2 Ru 2.69
8 Y 0.2500 0.3247 0.7583  2 Ru 2.69
9 Ru 0.0000 0.5000 0.0000  6 Y 2.69-2.73
10 Y 0.7500 0.6753 0.7583  2 Ru 2.69

=====

No. 2
## BaYRu (SCAN)

Data for a PBEsol-optimized structure of BaYRu.

Cell lengths 4.5095, 4.5095, 5.0964 Å; angles 90.00, 90.00, 120.00 degrees
Closest atoms and distances in Å follow each position.
Fractional coordinates of all 3 atoms:
1 Ba 0.0000 0.0000 0.9998  6 Ru 3.64, 6 Y 3.64
2 Ru 0.3333 0.6667 0.5002  3 Y 2.60
3 Y 0.6667 0.3333 0.4999  3 Ru 2.60

=====

Respective VASP energy values: -31.80 -33.76 eV/atom.
Respective N(E_F) values: 0.790 0.865 states/eV/atom.
Respective E_form values: -0.2179 0.3152 eV/atom.